# ZnTcIr2

An optimized crystal structure of ZnTcIr2 (PBEsol, Alexandria via LeMat-Bulk).

a = 2.746 Å, b = 2.746 Å, c = 7.310 Å
α = 90.00°, β = 90.00°, γ = 90.00°
Positions (direct):
Ir: 0.000 0.000 0.753
Ir: 0.000 0.000 0.247
Tc: 0.500 0.500 0.000
Zn: 0.500 0.500 0.500

Output
Crystal system: tetragonal
Calculated volume (Å³/cell): 55.1
Raw total energy (eV/cell): -33.44